First-principles (PBE) data for an optimized crystal structure of La12CePm3, as listed in Alexandria.

a = 5.2264 Å, b = 5.2264 Å, c = 20.9167 Å
α = 90.00°, β = 90.00°, γ = 90.00°
With the nearest neighbours (Å) after each atom.
Sites, in units of the cell vectors:
La1 0.5000 0.0000 0.6258  8 La 3.69-3.71, 4 Pm 3.70-3.71
La2 0.5000 0.5000 0.7502  8 La 3.69-3.76, 4 Pm 3.70
La3 0.5000 0.0000 0.1209  2 Ce 3.64, 8 La 3.64-3.76, 2 Pm 3.75
La4 0.0000 0.5000 0.6258  8 La 3.69-3.71, 4 Pm 3.70-3.71
La5 0.5000 0.0000 0.8791  8 La 3.64-3.76, 2 Ce 3.64, 2 Pm 3.75
La6 0.5000 0.5000 0.2498  8 La 3.69-3.76, 4 Pm 3.70
La7 0.0000 0.5000 0.8791  8 La 3.64-3.76, 2 Ce 3.64, 2 Pm 3.75
La8 0.5000 0.5000 0.5000  4 Pm 3.70, 8 La 3.71
La9 0.5000 0.5000 0.0000  8 La 3.64, 4 Ce 3.70
La10 0.5000 0.0000 0.3742  8 La 3.69-3.71, 4 Pm 3.70-3.71
La11 0.0000 0.5000 0.1209  2 Ce 3.64, 8 La 3.64-3.76, 2 Pm 3.75
La12 0.0000 0.5000 0.3742  8 La 3.69-3.71, 4 Pm 3.70-3.71
Pm1 0.0000 0.0000 0.2493  12 La 3.70-3.75
Pm2 0.0000 0.0000 0.7507  12 La 3.70-3.75
Pm3 0.0000 0.0000 0.5000  12 La 3.70-3.71
Ce1 0.0000 0.0000 0.0000  12 La 3.64-3.70

Calculated values
Uncorrected energy in eV per atom: -4.94